Entry from Alexandria via LeMat-Bulk: Eu2Ni2O5 after structural relaxation (PBE+U).

Output
DOS(E_F) = 20.96 states/eV/f.u.
VASP energy = -7.50 eV/atom
Calculated volume = 115.6 Å³/f.u.
Total magnetic moment = 3.37 μB/f.u.
Crystal system = triclinic

Cell lengths 5.311, 5.595, 8.685 Å; angles 71.22, 72.23, 89.98 degrees
Fractional positions:
Eu 0.000 0.000 0.000
Eu 0.223 0.259 0.559
Eu 0.499 0.538 0.001
Eu 0.723 0.720 0.560
Ni 0.120 0.630 0.780
Ni 0.325 0.941 0.280
Ni 0.620 0.129 0.780
Ni 0.825 0.318 0.280
O 0.004 0.557 0.050
O 0.274 0.703 0.510
O 0.350 0.358 0.809
O 0.384 0.894 0.752
O 0.448 0.278 0.280
O 0.506 0.932 0.050
O 0.773 0.327 0.510
O 0.852 0.371 0.807
O 0.884 0.892 0.751
O 0.947 0.981 0.280